one:
The following is a DFT calculation (GGA-PBE) of a relaxed structure of GaSn2.

The space group is C2/m (No. 12) and the conventional cell measures 5.7005, 3.3764 and 7.9722 Å, with angles of 90.00, 100.19 and 90.00 degrees. Symmetry generates all atoms from Ga at (0.0000, 0.0000, 0.0000) and Sn at (0.2264, 0.5000, 0.3122).

---

two:
The following is a DFT calculation (GGA-PBE) of a relaxed structure of GaSn2.

The space group is Fd-3m (No. 227, origin choice 2) and the conventional cell measures 8.7614, 8.7614 and 8.7614 Å, with angles of 90.00, 90.00 and 90.00 degrees. Symmetry generates all atoms from Ga at (0.1250, 0.1250, 0.1250) and Sn at (0.0000, 0.0000, 0.5000).

---

Most favorable first, least favorable last: one, two

---

one:
The following is a DFT calculation (GGA-PBE) of a relaxed structure of Ga2Sn3.

The space group is R-3c (No. 167, hexagonal axes) and the conventional cell measures 7.5972, 7.5972 and 15.3028 Å, with angles of 90.00, 90.00 and 120.00 degrees. Symmetry generates all atoms from Ga at (0.0000, 0.0000, 0.0912) and Sn at (0.0000, 0.2560, 0.2500).

---

two:
The following is a DFT calculation (GGA-PBE) of a relaxed structure of Ga2Sn3.

The space group is I4/mmm (No. 139) and the conventional cell measures 3.7864, 3.7864 and 16.9007 Å, with angles of 90.00, 90.00 and 90.00 degrees. Symmetry generates all atoms from Ga at (0.0000, 0.0000, 0.0955), Sn at (0.0000, 0.0000, 0.3070) and Sn at (0.0000, 0.0000, 0.5000).

---

Most favorable first, least favorable last: two, one